Compound: LiNp2CrO8
Source: Alexandria
Functional: GGA+U
Structure: optimized geometry

abc: 6.551 6.672 6.869
angles: 90.00 90.00 90.00
Space group Cmmm (No. 65)
Unique sites:
1 Li 0.000 0.000 0.000
2 Np 0.000 0.500 0.249
3 Cr 0.000 0.000 0.500
4 O 0.000 0.300 0.500
5 O 0.000 0.312 0.000
6 O 0.201 0.000 0.270

Output
The total magnetic moment comes out at 5.0 μB/f.u. For the density of states at the Fermi level, the calculation gives 0.645 states/eV per atom. Its total energy is -8.718 eV/atom.